Record 1
MgNi6 | PBE | optimized geometry

a b c (Å): 5.354 5.354 5.354
angles (deg): 109.47 109.47 109.47
Positions (direct):
Mg: 0.000 0.000 0.000
Ni: 0.250 0.500 0.750
Ni: 0.250 0.750 0.500
Ni: 0.500 0.250 0.750
Ni: 0.500 0.750 0.250
Ni: 0.750 0.250 0.500
Ni: 0.750 0.500 0.250

Summary:
- V: 118.1 Å³/cell
- Energy of formation from the pure elements: 0.7508 eV per atom

Record 2
NaPd2Pb | PBE | optimized geometry

a b c (Å): 6.125 6.125 6.125
angles (deg): 103.60 103.60 121.99
Positions (direct):
Na: 0.000 0.000 0.000
Na: 0.750 0.250 0.500
Pd: 0.137 0.125 0.512
Pd: 0.375 0.863 0.988
Pd: 0.613 0.625 0.488
Pd: 0.875 0.387 0.012
Pb: 0.250 0.750 0.500
Pb: 0.500 0.500 0.000

Summary:
- V: 170.4 Å³/cell
- Energy of formation from the pure elements: 0.0218 eV per atom

Record 3
Rb2BaAlIr | PBE | optimized geometry

a b c (Å): 6.322 6.322 6.587
angles (deg): 90.00 90.00 90.00
Positions (direct):
Rb: 0.000 0.500 0.000
Rb: 0.500 0.000 0.000
Ba: 0.000 0.000 0.500
Al: 0.000 0.000 0.000
Ir: 0.500 0.500 0.500

Summary:
- V: 263.3 Å³/cell
- Energy of formation from the pure elements: 1.2089 eV per atom

Record 4
Tb2BeIr3 | PBE | optimized geometry

a b c (Å): 5.516 5.516 7.822
angles (deg): 90.00 90.00 120.00
Positions (direct):
Tb: 0.333 0.667 0.060
Tb: 0.333 0.667 0.440
Tb: 0.667 0.333 0.560
Tb: 0.667 0.333 0.940
Be: 0.000 0.000 0.000
Be: 0.000 0.000 0.500
Ir: 0.163 0.327 0.750
Ir: 0.163 0.837 0.750
Ir: 0.327 0.163 0.250
Ir: 0.673 0.837 0.750
Ir: 0.837 0.163 0.250
Ir: 0.837 0.673 0.250

Summary:
- V: 206.1 Å³/cell
- Energy of formation from the pure elements: -0.7314 eV per atom
- Relative energy among the computed polymorphs: 0.019 eV/atom